PBE with a Hubbard U SrTbV2O8, optimized geometry; D(E_F) = 10.29 states/eV/f.u.; E = -7.412 eV per atom; space-group type = No. 147; magnetization = 1.10 Bohr magnetons per cell; density = 3.78 g cm⁻³
1.0
5.7699 0.0000 0.0000
-2.8850 4.9969 0.0000
0.0000 0.0000 7.2532
O V Sr Tb
8 2 1 1
Cartesian
4.3282 0.8256 2.0850 O
2.8850 1.6656 7.1036 O
-0.0059 1.6614 5.1682 O
1.4359 0.8358 2.0850 O
-1.4432 4.1713 5.1682 O
1.4491 4.1611 5.1682 O
2.8909 3.3355 2.0850 O
0.0000 3.3313 0.1496 O
0.0000 3.3313 5.7168 V
2.8850 1.6656 1.5364 V
0.0000 0.0000 0.0000 Sr
0.0000 0.0000 3.6266 Tb